No. 1
Computed, not measured: FeOs2Pb after structural relaxation at the GGA-PBEsol level of DFT.

Summary:
**Formation energy from the elements**: 877.4 meV/atom
**Space group**: No. 225

Cell lengths 4.442, 4.442, 4.442 Å; angles 60.00, 60.00, 60.00 degrees
Element x y z (fractional)
Fe  0.000  0.000  0.000
Os  0.250  0.250  0.250
Os  0.750  0.750  0.750
Pb  0.500  0.500  0.500



No. 2
Computed, not measured: Hf9CoMo4 after structural relaxation at the GGA-PBEsol level of DFT.

Summary:
**Formation energy from the elements**: -176.7 meV/atom
**Space group**: No. 194

Cell lengths 8.559, 8.559, 8.318 Å; angles 90.00, 90.00, 120.00 degrees
Element x y z (fractional)
Hf  0.085  0.542  0.250
Hf  0.202  0.404  0.558
Hf  0.202  0.404  0.942
Hf  0.202  0.798  0.558
Hf  0.202  0.798  0.942
Hf  0.404  0.202  0.058
Hf  0.404  0.202  0.442
Hf  0.458  0.542  0.250
Hf  0.458  0.915  0.250
Hf  0.542  0.085  0.750
Hf  0.542  0.458  0.750
Hf  0.596  0.798  0.558
Hf  0.596  0.798  0.942
Hf  0.798  0.202  0.058
Hf  0.798  0.202  0.442
Hf  0.798  0.596  0.058
Hf  0.798  0.596  0.442
Hf  0.915  0.458  0.750
Co  0.333  0.667  0.750
Co  0.667  0.333  0.250
Mo  0.000  0.000  0.000
Mo  0.000  0.000  0.500
Mo  0.112  0.223  0.250
Mo  0.112  0.888  0.250
Mo  0.223  0.112  0.750
Mo  0.777  0.888  0.250
Mo  0.888  0.112  0.750
Mo  0.888  0.777  0.750



No. 3
Computed, not measured: LaMn3V4O12 after structural relaxation at the GGA-PBEsol level of DFT.

Summary:
**Space group**: No. 204
**Formation energy without anion corrections**: -2.240 eV per atom

Cell lengths 6.413, 6.413, 6.413 Å; angles 109.47, 109.47, 109.47 degrees
Element x y z (fractional)
La  0.000  0.000  0.000
Mn  0.000  0.500  0.500
Mn  0.500  0.000  0.500
Mn  0.500  0.500  0.000
V  0.000  0.000  0.500
V  0.000  0.500  0.000
V  0.500  0.000  0.000
V  0.500  0.500  0.500
O  0.124  0.820  0.305
O  0.180  0.305  0.485
O  0.180  0.695  0.876
O  0.305  0.124  0.820
O  0.305  0.485  0.180
O  0.485  0.180  0.305
O  0.515  0.820  0.695
O  0.695  0.515  0.820
O  0.695  0.876  0.180
O  0.820  0.305  0.124
O  0.820  0.695  0.515
O  0.876  0.180  0.695